A plane-wave DFT calculation with PBE was carried out for a geometry-optimized LiPmAsO structure.

Lattice parameters (Å, degrees): 3.8868 3.8868 9.8812 90.00 90.00 90.00
Last column: nearest neighbours and their distance in Å.
Element x y z (fractional)
Li1 0.2500 0.7500 0.0000  4 As 2.65, 4 Li 2.75
Li2 0.7500 0.2500 0.0000  4 As 2.65, 4 Li 2.75
Pm1 0.2500 0.2500 0.3767  4 O 2.29
Pm2 0.7500 0.7500 0.6233  4 O 2.29
As1 0.2500 0.2500 0.8180  4 Li 2.65
As2 0.7500 0.7500 0.1820  4 Li 2.65
O1 0.2500 0.7500 0.5000  4 Pm 2.29
O2 0.7500 0.2500 0.5000  4 Pm 2.29

SG: No. 129
E above lowest polymorph in meV per atom: 0